Record 1
## TbTmPa (GGA-PBE)

Data for a geometry-optimized TbTmPa structure.

The structure in POSCAR format:
```
TbTmPa
1.0
3.3994 0.0000 0.0000
1.6934 5.7002 0.0000
1.6956 1.6056 8.8640
Tb Tm Pa
2 2 2
Direct
0.0028 0.2328 0.2605
0.9972 0.7672 0.7395
0.3272 0.7465 0.0980
0.6728 0.2535 0.9020
0.3307 0.2641 0.5759
0.6693 0.7359 0.4241
```

## Properties
**Space-group type**: P-1 (2)
**Crystal system**: triclinic
**Calculated formation energy**: 12.81 kJ per mole of atoms

Record 2
## NbNiS (GGA-PBE)

Data for a geometry-optimized NbNiS structure.

The structure in POSCAR format:
```
NbNiS
1.0
4.3061 -1.6715 0.0000
4.3061 1.6715 0.0000
-0.0341 0.0000 5.9106
Nb Ni S
2 2 2
Direct
0.0000 0.0000 0.0000
0.7119 0.7119 0.3517
0.4225 0.4225 0.6358
0.7094 0.7094 0.7976
0.0012 0.0012 0.4174
0.2867 0.2867 0.0382
```

## Properties
**Energy relative to the elements, uncorrected**: -1.479 eV/f.u.
**Space-group type**: Cm (8)
**Crystal system**: monoclinic

Record 3
## Na2PbO2 (GGA-PBE)

Data for a geometry-optimized Na2PbO2 structure.

The structure in POSCAR format:
```
Na2PbO2
1.0
17.1787 0.0000 0.0000
0.0000 7.0048 0.0000
0.0000 0.0000 6.0542
Na Pb O
16 8 16
Direct
0.0000 0.1211 0.2500
0.0000 0.3694 0.7500
0.0000 0.6306 0.2500
0.0000 0.8789 0.7500
0.1342 0.3730 0.0842
0.1342 0.6270 0.5842
0.3658 0.1270 0.5842
0.3658 0.8730 0.0842
0.5000 0.1306 0.2500
0.5000 0.3789 0.7500
0.5000 0.6211 0.2500
0.5000 0.8694 0.7500
0.6342 0.1270 0.9158
0.6342 0.8730 0.4158
0.8658 0.3730 0.4158
0.8658 0.6270 0.9158
0.1616 0.1361 0.5671
0.1616 0.8639 0.0671
0.3384 0.3639 0.0671
0.3384 0.6361 0.5671
0.6616 0.3639 0.4329
0.6616 0.6361 0.9329
0.8384 0.1361 0.9329
0.8384 0.8639 0.4329
0.0857 0.3534 0.4366
0.0857 0.6466 0.9366
0.0971 0.1027 0.8898
0.0971 0.8973 0.3898
0.4029 0.3973 0.3898
0.4029 0.6027 0.8898
0.4143 0.1466 0.9366
0.4143 0.8534 0.4366
0.5857 0.1466 0.5634
0.5857 0.8534 0.0634
0.5971 0.3973 0.1102
0.5971 0.6027 0.6102
0.9029 0.1027 0.6102
0.9029 0.8973 0.1102
0.9143 0.3534 0.0634
0.9143 0.6466 0.5634
```

## Properties
**Energy relative to the elements, uncorrected**: -6.528 eV/f.u.
**Space-group type**: Pbcn (60)
**Crystal system**: orthorhombic

Record 4
## HfMn9Re2 (GGA-PBE)

Data for a geometry-optimized HfMn9Re2 structure.

The structure in POSCAR format:
```
HfMn9Re2
1.0
2.3551 1.3597 7.7231
-2.3551 1.3597 7.7231
0.0000 -2.7195 7.7231
Hf Mn Re
1 9 2
Direct
0.0000 0.0000 0.0000
0.0727 0.5924 0.5924
0.3397 0.3397 0.3397
0.4076 0.4076 0.9273
0.4076 0.9273 0.4076
0.5000 0.5000 0.5000
0.5924 0.0727 0.5924
0.5924 0.5924 0.0727
0.6603 0.6603 0.6603
0.9273 0.4076 0.4076
0.1405 0.1405 0.1405
0.8595 0.8595 0.8595
```

## Properties
**Space-group type**: R-3m (166)
**Crystal system**: trigonal
**Calculated formation energy**: -5.74 kJ per mole of atoms

Record 5
## InCoW2 (GGA-PBE)

Data for a geometry-optimized InCoW2 structure.

The structure in POSCAR format:
```
InCoW2
1.0
2.7764 0.0000 0.0000
0.0000 4.1463 0.0000
0.0000 0.0000 5.5101
In Co W
1 1 2
Direct
0.0000 0.0000 0.0000
0.0000 0.0000 0.5000
0.5000 0.5000 0.2715
0.5000 0.5000 0.7285
```

## Properties
**Space-group type**: Pmmm (47)
**Crystal system**: orthorhombic
**Calculated formation energy**: 44.10 kJ per mole of atoms

Record 6
## La12Tb7Cd (GGA-PBE)

Data for a geometry-optimized La12Tb7Cd structure.

The structure in POSCAR format:
```
La12Tb7Cd
1.0
-5.8142 5.8142 5.8142
5.8142 -5.8142 5.8142
5.8142 5.8142 -5.8142
La Tb Cd
12 7 1
Direct
0.0676 0.7904 0.2772
0.2096 0.2772 0.4868
0.2096 0.7228 0.9324
0.2772 0.0676 0.7904
0.2772 0.4868 0.2096
0.4868 0.2096 0.2772
0.5132 0.7904 0.7228
0.7228 0.5132 0.7904
0.7228 0.9324 0.2096
0.7904 0.2772 0.0676
0.7904 0.7228 0.5132
0.9324 0.2096 0.7228
0.0000 0.0000 0.5000
0.0000 0.5000 0.0000
0.0000 0.5000 0.5000
0.5000 0.0000 0.0000
0.5000 0.0000 0.5000
0.5000 0.5000 0.0000
0.5000 0.5000 0.5000
0.0000 0.0000 0.0000
```

## Properties
**Space-group type**: Im-3 (204)
**Crystal system**: cubic
**Calculated formation energy**: 57.64 kJ per mole of atoms

Record 7
## PmPr2Ni9 (GGA-PBE)

Data for a geometry-optimized PmPr2Ni9 structure.

The structure in POSCAR format:
```
PmPr2Ni9
1.0
2.5204 1.4551 8.3063
-2.5204 1.4551 8.3063
0.0000 -2.9103 8.3063
Pm Pr Ni
1 2 9
Direct
0.0000 0.0000 0.0000
0.1383 0.1383 0.1383
0.8617 0.8617 0.8617
0.0813 0.5794 0.5794
0.3327 0.3327 0.3327
0.4206 0.4206 0.9187
0.4206 0.9187 0.4206
0.5000 0.5000 0.5000
0.5794 0.0813 0.5794
0.5794 0.5794 0.0813
0.6673 0.6673 0.6673
0.9187 0.4206 0.4206
```

## Properties
**Space-group type**: R-3m (166)
**Crystal system**: trigonal
**Calculated formation energy**: -28.99 kJ per mole of atoms

Record 8
## CaTb5Dy4 (GGA-PBE)

Data for a geometry-optimized CaTb5Dy4 structure.

The structure in POSCAR format:
```
CaTb5Dy4
1.0
3.5741 0.0000 0.0000
0.0000 3.5741 0.0000
0.0000 0.0000 25.4582
Ca Tb Dy
1 5 4
Direct
0.0000 0.0000 0.0000
0.5000 0.5000 0.1104
0.5000 0.5000 0.3043
0.5000 0.5000 0.5000
0.5000 0.5000 0.6957
0.5000 0.5000 0.8896
0.0000 0.0000 0.2049
0.0000 0.0000 0.4018
0.0000 0.0000 0.5982
0.0000 0.0000 0.7951
```

## Properties
**Space-group type**: P4/mmm (123)
**Crystal system**: tetragonal
**Calculated formation energy**: 3.45 kJ per mole of atoms

So what do the calculations give for total DFT energy (no corrections)? Going down the list: -0.2229; -0.2628; -0.1675; -0.3616; -0.3117; -0.1479; -0.2142; -0.1588 Ha/atom.
So what do the calculations give for DOS(E_F)? Going down the list: 1.6529; 0.5517; 0.0000; 1.0465; 0.5651; 1.3064; 1.2178; 1.3620 states/eV/atom.